No. 1
GGA-PBE Be4CdCu8, relaxed; space-group type = I4/mmm (139)
1.0
-4.029 4.029 2.288
4.029 -4.029 2.288
4.029 4.029 -2.288
Be Cd Cu
4 1 8
direct
0.000 0.000 0.500 Be
0.000 0.500 0.000 Be
0.500 0.000 0.000 Be
0.500 0.500 0.500 Be
0.000 0.000 0.000 Cd
0.000 0.348 0.348 Cu
0.000 0.652 0.652 Cu
0.280 0.500 0.780 Cu
0.348 0.000 0.348 Cu
0.500 0.280 0.780 Cu
0.500 0.720 0.220 Cu
0.652 0.000 0.652 Cu
0.720 0.500 0.220 Cu


No. 2
GGA-PBE SrCaIn2, relaxed; E above lowest polymorph = 91 meV per atom; space-group type = Cm (8)
1.0
6.222 -1.874 0.000
6.222 1.874 0.000
-1.882 0.000 5.487
Sr Ca In
1 1 2
direct
0.000 0.000 0.000 Sr
0.795 0.795 0.350 Ca
0.245 0.245 0.816 In
0.550 0.550 0.524 In


No. 3
GGA-PBE Tb4CeSm2, relaxed; space-group type = Cm (8)
1.0
3.119 -1.799 0.000
3.119 1.799 0.000
-2.109 0.000 20.228
Tb Ce Sm
4 1 2
direct
0.000 0.000 0.000 Tb
0.430 0.430 0.286 Tb
0.523 0.523 0.571 Tb
0.903 0.903 0.712 Tb
0.804 0.804 0.428 Ce
0.622 0.622 0.856 Sm
0.712 0.712 0.143 Sm


No. 4
GGA-PBE UReW2, relaxed; E above lowest polymorph = 159 meV per atom; space-group type = Fm-3m (225)
1.0
0.000 3.266 3.266
3.266 0.000 3.266
3.266 3.266 0.000
U Re W
1 1 2
direct
0.000 0.000 0.000 U
0.500 0.500 0.500 Re
0.250 0.250 0.250 W
0.750 0.750 0.750 W


No. 5
GGA-PBE SrYTlHg, relaxed; E above lowest polymorph = 46 meV per atom; space-group type = F-43m (216)
1.0
0.000 3.898 3.898
3.898 0.000 3.898
3.898 3.898 0.000
Sr Y Tl Hg
1 1 1 1
direct
0.000 0.000 0.000 Sr
0.500 0.500 0.500 Y
0.250 0.250 0.250 Tl
0.750 0.750 0.750 Hg


No. 6
GGA-PBE Ac2Zn3Ge, relaxed; E above lowest polymorph = 2 meV per atom; space-group type = Pmm2 (25)
1.0
4.443 0.000 0.000
0.000 4.451 0.000
0.000 0.000 7.828
Ac Zn Ge
2 3 1
direct
0.000 0.000 0.000 Ac
0.500 0.000 0.477 Ac
0.000 0.500 0.324 Zn
0.000 0.500 0.657 Zn
0.500 0.500 0.816 Zn
0.500 0.500 0.148 Ge


Number 1: calculated density 7.342 g cm⁻³, energy of formation from the pure elements -0.0247 eV/atom. Number 2: calculated density 4.636 g cm⁻³, energy of formation from the pure elements -0.3618 eV/atom. Number 3: calculated density 7.876 g cm⁻³, energy of formation from the pure elements 0.0420 eV/atom. Number 4: calculated density 18.868 g cm⁻³, energy of formation from the pure elements 0.4078 eV/atom. Number 5: calculated density 8.149 g cm⁻³, energy of formation from the pure elements -0.4168 eV/atom. Number 6: calculated density 7.754 g cm⁻³, energy of formation from the pure elements -0.4532 eV/atom.